DFT (PBE-GGA) results for an optimized crystal structure of NaY2TaO6.

```
data_NaY2TaO6
_chemical_formula_sum 'Na1 Y2 Ta1 O6'
_cell_length_a 5.6841
_cell_length_b 5.6841
_cell_length_c 6.0090
_cell_angle_alpha 61.77
_cell_angle_beta 61.77
_cell_angle_gamma 60.00
_symmetry_space_group_name_H-M 'P 1'
_symmetry_Int_Tables_number 1
loop_
_symmetry_equiv_pos_as_xyz
'x,y,z'
loop_
_atom_site_label
_atom_site_fract_x
_atom_site_fract_y
_atom_site_fract_z
O1 0.1481 0.3932 0.7700
O2 0.6887 0.1481 0.7700
O3 0.5742 0.2314 0.2310
Ta1 0.3184 0.3184 0.0447
Y1 0.0209 0.0209 0.9374
Na1 0.7987 0.7987 0.6038
O4 0.3932 0.6887 0.7700
Y2 0.5246 0.5246 0.4263
O5 0.2315 0.9633 0.2310
O6 0.9633 0.5742 0.2310
```

Calculated values
The total energy comes out at -8.657 eV per atom. The space-group type is R3. As for the crystal system: trigonal. The value obtained for the total magnetization is 0.00 μB per cell. The raw formation energy comes out at -30.7 eV/f.u. For the calculated volume, the calculation gives 14.08 Å³/atom.